Density functional theory data (PBE) for a geometry-optimized LiTiCoRh structure.

The magnetization is 0.00 μB/atom. The value obtained for the density of states at the Fermi level is 1.552 states/eV per cell. For the energy of formation, the calculation gives -0.3638 eV per atom.

Cell and atoms, written as POSCAR:
```
LiTiCoRh
1.0
0.0000 2.9453 2.9453
2.9453 0.0000 2.9453
2.9453 2.9453 0.0000
Li Ti Co Rh
1 1 1 1
direct
0.0000 0.0000 0.0000
0.5000 0.5000 0.5000
0.2500 0.2500 0.2500
0.7500 0.7500 0.7500
```